Below is an optimized crystal structure of CoAgRuO2, with properties calculated at the PBE with a Hubbard U level.

Lattice parameters (Å, degrees): 3.753 4.828 3.753 90.00 90.00 90.00
Last column: magnetic moment on the atom in μB.
Element x y z (fractional)
Ag 0.500 0.500 0.500  0.10
Co 0.000 0.000 0.000  2.20
O 0.500 0.000 0.000  0.39
O 0.000 0.000 0.500  0.20
Ru 0.000 0.500 0.000  2.05

- crystal system = tetragonal
- final energy (eV per atom) = -4.88